Record 1
17
Lattice="-2.174 5.054 -6.383 3.761 -6.902 -3.037 -6.899 -2.222 4.298" Properties=species:S:1:pos:R:3 comment="AgS12Cl4, optimized geometry, DFT GGA-PBE" rho_g_cm3=2.3 magmom_total_mub_per_fu=0.00 energy_ry_per_atom=-0.2417 formation_energy_uncorrected_ev_per_atom=0.227 n_ef_per_ev_atom=0.54 pbc="T T T"
S -2.177 -4.917 -3.451
S -6.019 -2.006 0.762
S -3.293 -1.039 -5.376
S -2.430 1.472 -5.723
S 0.707 -2.065 -5.884
S -5.582 -2.514 -1.830
S -3.134 0.847 -1.670
S -2.882 -5.542 0.602
S 0.271 -1.556 -3.292
S -5.630 1.626 -2.244
S 0.319 -5.696 -2.878
S -2.018 -3.032 0.255
Ag 0.000 0.000 0.000
Cl -1.087 2.527 -3.191
Cl -2.656 -2.035 -2.561
Cl 1.881 -3.451 -1.519
Cl -3.449 -1.111 2.149

***

Record 2
14
Lattice="-2.131 -1.760 -2.443 4.893 -4.772 1.956 -7.082 -3.652 8.808" Properties=species:S:1:pos:R:3 comment="Ag4S2Cl, optimized geometry, DFT GGA-PBE" rho_g_cm3=5.9 magmom_total_mub_per_fu=0.00 energy_ry_per_atom=-0.2338 de_polymorph_mev_per_atom=10.3 formation_energy_uncorrected_ev_per_atom=-0.109 n_ef_per_ev_atom=0.30 pbc="T T T"
Cl 1.019 -5.032 2.737
Cl -5.338 -5.153 5.584
Ag -1.774 -5.179 2.494
Ag -4.370 -5.946 8.096
Ag -1.065 -0.880 -1.221
Ag -4.606 -2.706 3.183
Ag 0.051 -4.238 0.224
Ag -0.871 -2.241 2.375
Ag -3.449 -7.943 5.946
Ag -2.546 -5.005 5.827
S -2.025 -7.206 4.173
S 0.556 -1.509 0.602
S -2.294 -2.979 4.147
S -4.875 -8.675 7.718

***

Record 3
28
Lattice="-2.437 2.492 1.550 2.862 -3.892 10.755 10.589 9.883 0.758" Properties=species:S:1:pos:R:3 comment="Ag4S2Cl, optimized geometry, DFT GGA-PBE" rho_g_cm3=5.4 magmom_total_mub_per_fu=0.00 energy_ry_per_atom=-0.2346 de_polymorph_mev_per_atom=0.0 formation_energy_uncorrected_ev_per_atom=-0.119 n_ef_per_ev_atom=0.25 pbc="T T T"
Cl 3.660 4.140 3.755
Cl 8.936 9.100 4.146
Cl 2.078 -0.617 8.917
Cl 7.354 4.343 9.308
Ag 0.351 -0.737 11.025
Ag 1.434 3.711 0.961
Ag 8.031 1.764 9.886
Ag 2.983 6.719 3.177
Ag 3.733 5.700 5.992
Ag 10.664 9.220 2.039
Ag 7.574 5.443 3.185
Ag 6.718 8.663 1.347
Ag 8.149 6.717 6.724
Ag -0.399 0.281 8.210
Ag 3.441 3.040 9.878
Ag 11.156 5.505 8.717
Ag 7.282 2.783 7.071
Ag 11.413 8.202 4.853
Ag -0.142 2.978 4.346
Ag 2.865 1.766 6.339
S -0.761 3.733 2.171
S 8.118 4.618 5.355
S 11.776 4.750 10.892
S 10.618 6.324 6.543
S 0.396 2.159 6.521
S 4.054 2.291 12.057
S 2.896 3.865 7.708
S 6.961 6.192 1.006

***

Record 4
8
Lattice="-2.080 2.970 1.730 -5.475 -4.984 1.654 0.535 -5.782 5.876" Properties=species:S:1:pos:R:3 comment="AgS2Cl, optimized geometry, DFT GGA-PBE" rho_g_cm3=3.5 magmom_total_mub_per_fu=0.00 energy_ry_per_atom=-0.2514 de_polymorph_mev_per_atom=0.0 formation_energy_uncorrected_ev_per_atom=-0.182 pbc="T T T"
Ag -2.470 -5.383 3.765
Ag -0.773 -1.406 3.803
Cl -3.364 -0.792 4.118
Cl -3.657 -7.004 5.142
S -6.062 -7.674 7.877
S -2.094 -3.847 6.399
S -4.927 -3.948 2.861
S -0.959 -0.122 1.382

***

Record 5
14
Lattice="-1.776 3.824 -7.935 -8.130 -2.751 2.660 3.073 4.379 4.560" Properties=species:S:1:pos:R:3 comment="AgSCl5, optimized geometry, DFT GGA-PBE" rho_g_cm3=2.4 magmom_total_mub_per_fu=0.00 energy_ry_per_atom=-0.1847 formation_energy_uncorrected_ev_per_atom=-0.197 pbc="T T T"
Cl -5.699 3.203 -2.282
Cl -7.037 1.203 -4.327
Cl -1.135 2.250 1.567
Cl -5.690 0.569 3.197
Cl -6.102 -0.459 -0.957
Cl -1.143 4.884 -3.912
Cl -0.731 5.912 0.242
Cl -0.924 2.175 -1.488
Cl 0.204 4.250 3.612
Cl -5.909 3.278 0.774
Ag -0.888 1.912 -3.967
Ag 0.648 4.102 -1.687
S -5.797 2.795 -4.257
S -1.037 2.658 3.542

***

Record 6
5
Lattice="4.907 0.000 0.000 0.000 4.907 0.000 0.000 0.000 4.907" Properties=species:S:1:pos:R:3 comment="AgSCl3, optimized geometry, DFT GGA-PBE" rho_g_cm3=3.5 magmom_total_mub_per_fu=0.00 energy_ry_per_atom=-0.1741 de_polymorph_mev_per_atom=329.4 formation_energy_uncorrected_ev_per_atom=0.135 n_ef_per_ev_atom=0.20 pbc="T T T"
Cl 2.454 0.000 0.000
Cl 0.000 2.454 0.000
Cl 0.000 0.000 2.454
Ag 2.454 2.454 2.454
S 0.000 0.000 0.000

***

Record 7
8
Lattice="6.363 0.006 0.010 3.172 5.515 0.016 3.173 1.835 5.641" Properties=species:S:1:pos:R:3 comment="AgSCl6, optimized geometry, DFT GGA-PBE" rho_g_cm3=3.0 magmom_total_mub_per_fu=0.00 energy_ry_per_atom=-0.1713 formation_energy_uncorrected_ev_per_atom=-0.074 n_ef_per_ev_atom=0.84 pbc="T T T"
S 0.000 0.000 0.000
Cl 7.209 5.665 4.327
Cl 8.501 3.926 1.352
Cl 5.499 1.691 1.340
Cl 4.207 3.430 4.316
Cl 5.063 5.416 1.350
Cl 7.645 1.941 4.318
Ag 6.354 3.678 2.834

***

Record 8
10
Lattice="-0.054 6.933 -2.167 -2.547 -2.048 -6.488 -4.183 0.437 1.504" Properties=species:S:1:pos:R:3 comment="AgS2Cl2, optimized geometry, DFT GGA-PBE" rho_g_cm3=3.4 magmom_total_mub_per_fu=0.00 energy_ry_per_atom=-0.2037 de_polymorph_mev_per_atom=0.0 formation_energy_uncorrected_ev_per_atom=0.189 n_ef_per_ev_atom=0.34 pbc="T T T"
S -1.996 3.502 -6.569
S -1.877 0.109 -5.251
S -0.605 1.383 -2.086
S -0.724 4.776 -3.403
Cl -2.985 5.311 -3.212
Cl -3.800 0.011 -3.938
Cl -2.535 2.184 -1.054
Cl -4.249 3.138 -6.097
Ag 0.000 0.000 0.000
Ag -1.301 2.443 -4.327